! PBE Rb2TaPt3O12, optimized geometry; values from VASP
! ΔE_f (raw) = -1.0388 eV/atom
! Space-group type = R-3m, No. 166
! Calculated total energy = -6.117 eV/atom
&SYSTEM
  ibrav = 0, nat = 18, ntyp = 4
/
ATOMIC_SPECIES
Rb 85.47 Rb.upf
Ta 180.95 Ta.upf
Pt 195.08 Pt.upf
O 16.00 O.upf
CELL_PARAMETERS angstrom
3.613 2.086 6.083
-3.613 2.086 6.083
0.000 -4.172 6.083
ATOMIC_POSITIONS crystal
Rb 0.127 0.127 0.127
Rb 0.873 0.873 0.873
Ta 0.500 0.500 0.500
Pt 0.000 0.500 0.500
Pt 0.500 0.000 0.500
Pt 0.500 0.500 0.000
O 0.174 0.174 0.580
O 0.174 0.580 0.174
O 0.178 0.569 0.569
O 0.420 0.826 0.826
O 0.431 0.431 0.822
O 0.431 0.822 0.431
O 0.569 0.178 0.569
O 0.569 0.569 0.178
O 0.580 0.174 0.174
O 0.822 0.431 0.431
O 0.826 0.420 0.826
O 0.826 0.826 0.420


! PBE TmZnRh, optimized geometry; values from VASP
! Calculated formation energy = -1.9 eV per formula unit
! Space-group type = Pnma, No. 62
! Calculated total energy = -5.003 eV/atom
&SYSTEM
  ibrav = 0, nat = 12, ntyp = 3
/
ATOMIC_SPECIES
Tm 168.93 Tm.upf
Zn 65.41 Zn.upf
Rh 102.91 Rh.upf
CELL_PARAMETERS angstrom
5.231 0.000 0.000
0.000 4.619 0.000
0.000 0.000 9.448
ATOMIC_POSITIONS crystal
Tm 0.145 0.250 0.126
Tm 0.355 0.750 0.626
Tm 0.645 0.250 0.374
Tm 0.855 0.750 0.874
Zn 0.179 0.750 0.330
Zn 0.321 0.250 0.830
Zn 0.679 0.750 0.170
Zn 0.821 0.250 0.670
Rh 0.149 0.250 0.451
Rh 0.351 0.750 0.951
Rh 0.649 0.250 0.049
Rh 0.851 0.750 0.549


! PBE La3Sc5H12, optimized geometry; values from VASP
! Space-group type = Ia-3d, No. 230
! Calculated total energy = -4.799 eV/atom
&SYSTEM
  ibrav = 0, nat = 80, ntyp = 3
/
ATOMIC_SPECIES
La 138.91 La.upf
Sc 44.96 Sc.upf
H 1.01 H.upf
CELL_PARAMETERS angstrom
-6.408 6.408 6.408
6.408 -6.408 6.408
6.408 6.408 -6.408
ATOMIC_POSITIONS crystal
La 0.125 0.250 0.375
La 0.125 0.375 0.750
La 0.250 0.375 0.125
La 0.250 0.875 0.625
La 0.375 0.125 0.250
La 0.375 0.750 0.125
La 0.625 0.250 0.875
La 0.625 0.875 0.750
La 0.750 0.125 0.375
La 0.750 0.625 0.875
La 0.875 0.625 0.250
La 0.875 0.750 0.625
Sc 0.000 0.000 0.000
Sc 0.000 0.000 0.500
Sc 0.000 0.500 0.000
Sc 0.000 0.500 0.500
Sc 0.125 0.750 0.875
Sc 0.125 0.875 0.250
Sc 0.250 0.125 0.875
Sc 0.250 0.625 0.375
Sc 0.375 0.250 0.625
Sc 0.375 0.625 0.750
Sc 0.500 0.000 0.000
Sc 0.500 0.000 0.500
Sc 0.500 0.500 0.000
Sc 0.500 0.500 0.500
Sc 0.625 0.375 0.250
Sc 0.625 0.750 0.375
Sc 0.750 0.375 0.625
Sc 0.750 0.875 0.125
Sc 0.875 0.125 0.750
Sc 0.875 0.250 0.125
H 0.041 0.208 0.127
H 0.041 0.333 0.914
H 0.081 0.708 0.667
H 0.081 0.873 0.414
H 0.086 0.627 0.419
H 0.086 0.959 0.667
H 0.127 0.041 0.208
H 0.127 0.586 0.919
H 0.167 0.208 0.581
H 0.167 0.459 0.586
H 0.208 0.127 0.041
H 0.208 0.581 0.167
H 0.292 0.333 0.919
H 0.292 0.459 0.373
H 0.333 0.914 0.041
H 0.333 0.919 0.292
H 0.373 0.292 0.459
H 0.373 0.581 0.914
H 0.414 0.081 0.873
H 0.414 0.833 0.541
H 0.419 0.086 0.627
H 0.419 0.833 0.792
H 0.459 0.373 0.292
H 0.459 0.586 0.167
H 0.541 0.414 0.833
H 0.541 0.627 0.708
H 0.581 0.167 0.208
H 0.581 0.914 0.373
H 0.586 0.167 0.459
H 0.586 0.919 0.127
H 0.627 0.419 0.086
H 0.627 0.708 0.541
H 0.667 0.081 0.708
H 0.667 0.086 0.959
H 0.708 0.541 0.627
H 0.708 0.667 0.081
H 0.792 0.419 0.833
H 0.792 0.873 0.959
H 0.833 0.541 0.414
H 0.833 0.792 0.419
H 0.873 0.414 0.081
H 0.873 0.959 0.792
H 0.914 0.041 0.333
H 0.914 0.373 0.581
H 0.919 0.127 0.586
H 0.919 0.292 0.333
H 0.959 0.667 0.086
H 0.959 0.792 0.873


! PBE NaNbSi3, optimized geometry; values from VASP
! ΔE_f (raw) = 0.3236 eV/atom
! Space-group type = Pm-3m, No. 221
! Calculated total energy = -5.208 eV/atom
! Energy above the lowest structure with this stoichiometry = 0.0000 eV/atom
&SYSTEM
  ibrav = 0, nat = 5, ntyp = 3
/
ATOMIC_SPECIES
Na 22.99 Na.upf
Nb 92.91 Nb.upf
Si 28.09 Si.upf
CELL_PARAMETERS angstrom
4.915 0.000 0.000
0.000 4.915 0.000
0.000 0.000 4.915
ATOMIC_POSITIONS crystal
Na 0.000 0.000 0.000
Nb 0.500 0.500 0.500
Si 0.000 0.500 0.500
Si 0.500 0.000 0.500
Si 0.500 0.500 0.000


! PBE PaTaMnC3, optimized geometry; values from VASP
! Calculated formation energy = -1.3 eV per formula unit
! Space-group type = P2_1/m, No. 11
! Calculated total energy = -9.923 eV/atom
&SYSTEM
  ibrav = 0, nat = 12, ntyp = 4
/
ATOMIC_SPECIES
Pa 231.04 Pa.upf
Ta 180.95 Ta.upf
Mn 54.94 Mn.upf
C 12.01 C.upf
CELL_PARAMETERS angstrom
6.932 0.000 0.000
0.000 3.234 0.000
-1.648 0.000 7.090
ATOMIC_POSITIONS crystal
Pa 0.185 0.250 0.201
Pa 0.815 0.750 0.799
Ta 0.350 0.750 0.852
Ta 0.650 0.250 0.148
Mn 0.098 0.250 0.602
Mn 0.902 0.750 0.398
C 0.119 0.250 0.863
C 0.184 0.750 0.513
C 0.429 0.750 0.161
C 0.571 0.250 0.839
C 0.816 0.250 0.487
C 0.881 0.750 0.137


! PBE CsNbCd3, optimized geometry; values from VASP
! Calculated formation energy = 2.7 eV per formula unit
! Space-group type = Pm-3m, No. 221
! Calculated total energy = -2.190 eV/atom
! Energy above the lowest structure with this stoichiometry = 0.0000 eV/atom
&SYSTEM
  ibrav = 0, nat = 5, ntyp = 3
/
ATOMIC_SPECIES
Cs 132.91 Cs.upf
Nb 92.91 Nb.upf
Cd 112.41 Cd.upf
CELL_PARAMETERS angstrom
5.739 0.000 0.000
0.000 5.739 0.000
0.000 0.000 5.739
ATOMIC_POSITIONS crystal
Cs 0.000 0.000 0.000
Nb 0.500 0.500 0.500
Cd 0.000 0.500 0.500
Cd 0.500 0.000 0.500
Cd 0.500 0.500 0.000


! PBE Co2GeHPd, optimized geometry; values from VASP
! Space-group type = P4/mmm, No. 123
! Calculated total energy = -5.550 eV/atom
&SYSTEM
  ibrav = 0, nat = 5, ntyp = 4
/
ATOMIC_SPECIES
Co 58.93 Co.upf
Ge 72.64 Ge.upf
H 1.01 H.upf
Pd 106.42 Pd.upf
CELL_PARAMETERS angstrom
3.729 0.000 0.000
0.000 3.729 0.000
0.000 0.000 3.783
ATOMIC_POSITIONS crystal
Co 0.000 0.500 0.000
Co 0.500 0.000 0.000
Ge 0.000 0.000 0.500
H 0.500 0.500 0.000
Pd 0.500 0.500 0.500


! PBE Tb8GaIr2, optimized geometry; values from VASP
! Calculated formation energy = -4.4 eV per formula unit
! Space-group type = Cm, No. 8
! Calculated total energy = -5.653 eV/atom
&SYSTEM
  ibrav = 0, nat = 11, ntyp = 3
/
ATOMIC_SPECIES
Tb 158.93 Tb.upf
Ga 69.72 Ga.upf
Ir 192.22 Ir.upf
CELL_PARAMETERS angstrom
4.317 -6.543 0.000
4.317 6.543 0.000
-1.350 0.000 5.380
ATOMIC_POSITIONS crystal
Tb 0.000 0.000 0.000
Tb 0.050 0.309 0.614
Tb 0.141 0.621 0.199
Tb 0.309 0.050 0.614
Tb 0.450 0.710 0.792
Tb 0.621 0.141 0.199
Tb 0.710 0.450 0.792
Tb 0.755 0.755 0.394
Ga 0.381 0.381 0.159
Ir 0.070 0.690 0.699
Ir 0.690 0.070 0.699


! PBE SmHgRh, optimized geometry; values from VASP
! Calculated formation energy = -1.7 eV per formula unit
! Space-group type = C2/m, No. 12
! Calculated total energy = -4.678 eV/atom
&SYSTEM
  ibrav = 0, nat = 6, ntyp = 3
/
ATOMIC_SPECIES
Sm 150.36 Sm.upf
Hg 200.59 Hg.upf
Rh 102.91 Rh.upf
CELL_PARAMETERS angstrom
5.186 -2.096 0.000
5.186 2.096 0.000
-4.044 0.000 6.217
ATOMIC_POSITIONS crystal
Sm 0.069 0.069 0.329
Sm 0.931 0.931 0.671
Hg 0.330 0.330 0.924
Hg 0.670 0.670 0.076
Rh 0.355 0.355 0.338
Rh 0.645 0.645 0.662


! PBE ThZr2CrC4, optimized geometry; values from VASP
! Calculated formation energy = -3.4 eV per formula unit
! Space-group type = Cmcm, No. 63
! Calculated total energy = -9.301 eV/atom
&SYSTEM
  ibrav = 0, nat = 16, ntyp = 4
/
ATOMIC_SPECIES
Th 232.04 Th.upf
Zr 91.22 Zr.upf
Cr 52.00 Cr.upf
C 12.01 C.upf
CELL_PARAMETERS angstrom
1.682 -5.808 0.000
1.682 5.808 0.000
0.000 0.000 11.391
ATOMIC_POSITIONS crystal
Th 0.095 0.905 0.750
Th 0.905 0.095 0.250
Zr 0.369 0.631 0.544
Zr 0.369 0.631 0.956
Zr 0.631 0.369 0.044
Zr 0.631 0.369 0.456
Cr 0.168 0.832 0.250
Cr 0.832 0.168 0.750
C 0.000 0.000 0.000
C 0.000 0.000 0.500
C 0.263 0.737 0.123
C 0.263 0.737 0.377
C 0.422 0.578 0.750
C 0.578 0.422 0.250
C 0.737 0.263 0.623
C 0.737 0.263 0.877


! PBE Y2SbO, optimized geometry; values from VASP
! ΔE_f (raw) = -1.0696 eV/atom
! Space-group type = Fm-3m, No. 225
! Calculated total energy = -6.572 eV/atom
! Energy above the lowest structure with this stoichiometry = 0.7977 eV/atom
&SYSTEM
  ibrav = 0, nat = 4, ntyp = 3
/
ATOMIC_SPECIES
Y 88.91 Y.upf
Sb 121.76 Sb.upf
O 16.00 O.upf
CELL_PARAMETERS angstrom
0.000 3.527 3.527
3.527 0.000 3.527
3.527 3.527 0.000
ATOMIC_POSITIONS crystal
Y 0.250 0.250 0.250
Y 0.750 0.750 0.750
Sb 0.000 0.000 0.000
O 0.500 0.500 0.500


! PBE NiSn2HgTe, optimized geometry; values from VASP
! ΔE_f (raw) = -0.0304 eV/atom
! Space-group type = P4/mmm, No. 123
! Calculated total energy = -3.477 eV/atom
&SYSTEM
  ibrav = 0, nat = 5, ntyp = 4
/
ATOMIC_SPECIES
Ni 58.69 Ni.upf
Sn 118.71 Sn.upf
Hg 200.59 Hg.upf
Te 127.60 Te.upf
CELL_PARAMETERS angstrom
5.053 0.000 0.000
0.000 5.053 0.000
0.000 0.000 5.046
ATOMIC_POSITIONS crystal
Ni 0.000 0.000 0.000
Sn 0.000 0.500 0.000
Sn 0.500 0.000 0.000
Hg 0.000 0.000 0.500
Te 0.500 0.500 0.500